A relaxed structure of PmEr3Th2Sb6, computed with PBE.

Output
- Calculated density: 8.3 Mg/m³
- ΔE_f (raw): -1.05 eV/atom
- Size of the total moment: 0.0 Bohr magnetons per cell
- E_tot: -0.216 hartree per atom
- D(E_F): 4.6 states/eV/f.u.

Geometry as POSCAR:
```
PmEr3Th2Sb6
1.0
-0.579 -4.184 -1.365
8.442 -0.325 -2.586
0.709 -0.947 9.818
Th Er Sb Pm
2 3 6 1
direct
0.835 0.669 0.669
0.165 0.331 0.331
0.166 0.834 0.332
0.500 0.500 0.000
0.834 0.166 0.668
0.669 0.077 0.338
0.997 0.255 0.995
0.665 0.589 0.329
0.331 0.923 0.662
0.335 0.411 0.671
0.003 0.745 0.005
0.500 0.000 0.000
```

A relaxed structure of PmErTh2Sb5, computed with PBE.

Output
- Calculated density: 7.3 Mg/m³
- ΔE_f (raw): -0.23 eV/atom
- Size of the total moment: 0.0 Bohr magnetons per cell
- E_tot: -0.191 hartree per atom
- D(E_F): 5.2 states/eV/f.u.

Geometry as POSCAR:
```
PmErTh2Sb5
1.0
-2.905 3.190 2.962
-2.169 -4.148 2.340
8.353 0.157 8.023
Sb Th Er Pm
5 2 1 1
direct
0.500 0.000 0.500
0.500 0.500 0.000
0.000 0.000 0.251
0.000 0.000 0.749
0.000 0.500 0.500
0.500 0.500 0.301
0.500 0.500 0.699
0.000 0.000 0.500
0.000 0.000 0.000
```

A relaxed structure of Pm2ErTh3Sb6, computed with PBE.

Output
- Calculated density: 8.2 Mg/m³
- ΔE_f (raw): -1.04 eV/atom
- Size of the total moment: 0.0 Bohr magnetons per cell
- E_tot: -0.225 hartree per atom
- D(E_F): 6.1 states/eV/f.u.

Geometry as POSCAR:
```
Pm2ErTh3Sb6
1.0
4.483 0.000 0.000
0.000 8.926 0.329
-2.241 -2.556 9.414
Er Sb Th Pm
1 6 3 2
direct
0.500 0.000 0.000
0.663 0.082 0.327
0.337 0.918 0.673
0.333 0.418 0.666
0.000 0.242 0.999
0.000 0.758 0.001
0.667 0.582 0.334
0.168 0.833 0.336
0.832 0.167 0.664
0.500 0.500 0.000
0.166 0.333 0.333
0.834 0.667 0.667
```

A relaxed structure of Pm2Er3TmSb6, computed with PBE.

Output
- Calculated density: 7.8 Mg/m³
- ΔE_f (raw): -1.12 eV/atom
- Size of the total moment: 0.0 Bohr magnetons per cell
- E_tot: -0.201 hartree per atom
- D(E_F): 1.9 states/eV/f.u.

Geometry as POSCAR:
```
Pm2Er3TmSb6
1.0
4.399 0.000 0.000
0.000 8.786 0.318
-2.199 -2.527 9.242
Sb Pm Er Tm
6 2 3 1
direct
0.335 0.412 0.670
0.665 0.588 0.330
0.334 0.924 0.669
0.666 0.076 0.331
0.003 0.752 0.006
0.997 0.248 0.994
0.834 0.668 0.669
0.166 0.332 0.331
0.168 0.834 0.336
0.500 0.500 0.000
0.832 0.166 0.664
0.500 0.000 0.000
```

A relaxed structure of PmEr2Tm3Sb6, computed with PBE.

Output
- Calculated density: 8.1 Mg/m³
- ΔE_f (raw): -1.09 eV/atom
- Size of the total moment: 0.0 Bohr magnetons per cell
- E_tot: -0.199 hartree per atom
- D(E_F): 1.9 states/eV/f.u.

Geometry as POSCAR:
```
PmEr2Tm3Sb6
1.0
-2.583 1.001 3.378
3.462 -6.575 4.595
6.939 6.857 0.448
Sb Tm Pm Er
6 3 1 2
direct
0.330 0.916 0.661
0.670 0.084 0.339
0.666 0.584 0.333
0.000 0.257 0.001
0.000 0.743 0.999
0.334 0.416 0.667
0.165 0.832 0.331
0.835 0.168 0.669
0.500 0.500 0.000
0.500 0.000 0.000
0.833 0.666 0.665
0.167 0.334 0.335
```

A relaxed structure of Pm2Y3ErSb6, computed with PBE.

Output
- Calculated density: 6.6 Mg/m³
- ΔE_f (raw): -1.16 eV/atom
- Size of the total moment: 0.0 Bohr magnetons per cell
- E_tot: -0.221 hartree per atom
- D(E_F): 2.2 states/eV/f.u.

Geometry as POSCAR:
```
Pm2Y3ErSb6
1.0
7.657 -0.002 0.000
-3.829 6.631 0.000
-1.277 -2.211 7.213
Pm Sb Y Er
2 6 3 1
direct
0.666 0.334 0.000
0.334 0.666 0.000
0.243 0.243 0.745
0.588 0.916 0.747
0.757 0.757 0.255
0.084 0.412 0.253
0.916 0.588 0.747
0.412 0.084 0.253
0.169 0.831 0.500
0.500 0.500 0.500
0.831 0.169 0.500
0.000 0.000 0.000
```

A relaxed structure of Pm2YEr3Sb6, computed with PBE.

Output
- Calculated density: 7.4 Mg/m³
- ΔE_f (raw): -1.13 eV/atom
- Size of the total moment: 0.0 Bohr magnetons per cell
- E_tot: -0.208 hartree per atom
- D(E_F): 1.9 states/eV/f.u.

Geometry as POSCAR:
```
Pm2YEr3Sb6
1.0
-0.641 3.379 -2.757
-6.713 -4.317 -3.729
-3.911 3.262 8.431
Sb Pm Er Y
6 2 3 1
direct
0.335 0.412 0.671
0.003 0.749 0.005
0.667 0.077 0.334
0.333 0.923 0.666
0.997 0.251 0.995
0.665 0.588 0.329
0.166 0.333 0.332
0.834 0.667 0.668
0.833 0.166 0.665
0.167 0.834 0.335
0.500 0.500 0.000
0.500 0.000 0.000
```

A relaxed structure of Pm3YEr2Sb6, computed with PBE.

Output
- Calculated density: 7.2 Mg/m³
- ΔE_f (raw): -1.15 eV/atom
- Size of the total moment: 0.0 Bohr magnetons per cell
- E_tot: -0.209 hartree per atom
- D(E_F): 1.9 states/eV/f.u.

Geometry as POSCAR:
```
Pm3YEr2Sb6
1.0
-1.139 -4.062 -1.362
1.742 -3.195 8.073
-8.755 4.455 1.248
Sb Pm Er Y
6 3 2 1
direct
0.335 0.911 0.669
0.669 0.578 0.337
0.665 0.089 0.331
0.331 0.422 0.663
0.002 0.247 0.004
0.998 0.753 0.996
0.834 0.167 0.667
0.500 0.500 0.000
0.166 0.833 0.333
0.167 0.333 0.334
0.833 0.667 0.666
0.500 0.000 0.000
```

A relaxed structure of PmY3Er2Sb6, computed with PBE.

Output
- Calculated density: 6.8 Mg/m³
- ΔE_f (raw): -1.14 eV/atom
- Size of the total moment: 0.0 Bohr magnetons per cell
- E_tot: -0.220 hartree per atom
- D(E_F): 2.2 states/eV/f.u.

Geometry as POSCAR:
```
PmY3Er2Sb6
1.0
7.616 -0.002 0.000
-3.808 6.596 0.000
-1.270 -2.199 7.176
Y Er Sb Pm
3 2 6 1
direct
0.500 0.500 0.500
0.164 0.836 0.500
0.836 0.164 0.500
0.333 0.667 0.000
0.667 0.333 0.000
0.084 0.422 0.251
0.578 0.916 0.749
0.256 0.256 0.751
0.744 0.744 0.249
0.916 0.578 0.749
0.422 0.084 0.251
0.000 0.000 0.000
```

A relaxed structure of PmEr5Sc2, computed with PBE.

Output
- Calculated density: 7.6 Mg/m³
- ΔE to the lowest computed polymorph: 13 meV/atom
- Size of the total moment: 0.0 Bohr magnetons per cell
- E_tot: -0.183 hartree per atom
- DFT formation energy: 0.343 eV per formula unit
- D(E_F): 13.1 states/eV/f.u.

Geometry as POSCAR:
```
PmEr5Sc2
1.0
6.899 0.000 0.000
0.000 6.899 -0.001
-3.449 -3.450 4.924
Pm Er Sc
1 5 2
direct
0.222 0.222 0.444
0.222 0.722 0.944
0.222 0.222 0.944
0.722 0.222 0.944
0.722 0.722 0.944
0.722 0.722 0.445
0.222 0.722 0.444
0.722 0.222 0.444
```

A relaxed structure of Pm2Er7Sc2, computed with PBE.

Output
- Calculated density: 7.3 Mg/m³
- ΔE to the lowest computed polymorph: 188 meV/atom
- Size of the total moment: 0.0 Bohr magnetons per cell
- E_tot: -0.167 hartree per atom
- DFT formation energy: 4.006 eV per formula unit
- D(E_F): 13.7 states/eV/f.u.

Geometry as POSCAR:
```
Pm2Er7Sc2
1.0
-8.061 -1.305 -6.051
-9.428 -8.563 1.377
-0.439 8.907 -4.875
Er Sc Pm
7 2 2
direct
0.000 0.500 0.000
0.670 0.657 0.682
0.330 0.343 0.318
0.340 0.951 0.660
0.682 0.343 0.670
0.318 0.657 0.330
0.660 0.049 0.340
0.168 0.742 0.832
0.832 0.258 0.168
0.323 0.000 0.323
0.677 0.000 0.677
```

A relaxed structure of Pm7Er3Sc, computed with PBE.

Output
- Calculated density: 7.0 Mg/m³
- ΔE to the lowest computed polymorph: 95 meV/atom
- Size of the total moment: 0.0 Bohr magnetons per cell
- E_tot: -0.170 hartree per atom
- DFT formation energy: 2.527 eV per formula unit
- D(E_F): 14.1 states/eV/f.u.

Geometry as POSCAR:
```
Pm7Er3Sc
1.0
5.780 -0.166 -0.213
-2.632 8.006 1.053
-2.632 -0.919 8.022
Sc Pm Er
1 7 3
direct
0.500 0.500 0.500
0.690 0.403 0.976
0.000 0.500 0.500
0.310 0.024 0.597
0.785 0.786 0.786
0.310 0.597 0.024
0.215 0.214 0.214
0.690 0.976 0.403
0.500 0.000 0.000
0.000 0.203 0.797
0.000 0.797 0.203
```

A relaxed structure of Pm3Er6Sc, computed with PBE.

Output
- Calculated density: 7.8 Mg/m³
- ΔE to the lowest computed polymorph: 116 meV/atom
- Size of the total moment: 0.0 Bohr magnetons per cell
- E_tot: -0.171 hartree per atom
- DFT formation energy: 1.480 eV per formula unit
- D(E_F): 14.8 states/eV/f.u.

Geometry as POSCAR:
```
Pm3Er6Sc
1.0
-2.389 4.236 3.829
-9.892 -1.933 -4.034
3.557 -5.701 8.526
Er Pm Sc
12 6 2
direct
0.634 0.279 0.721
0.869 0.461 0.040
0.415 0.952 0.048
0.543 0.289 0.382
0.369 0.040 0.461
0.915 0.048 0.952
0.369 0.539 0.960
0.869 0.960 0.539
0.134 0.721 0.279
0.043 0.382 0.289
0.543 0.618 0.711
0.043 0.711 0.618
0.957 0.056 0.280
0.457 0.280 0.056
0.567 0.612 0.388
0.457 0.944 0.720
0.067 0.388 0.612
0.957 0.720 0.944
0.133 0.205 0.795
0.633 0.795 0.205
```

A relaxed structure of Pm3Er3Sc2, computed with PBE.

Output
- Calculated density: 6.9 Mg/m³
- ΔE to the lowest computed polymorph: 36 meV/atom
- Size of the total moment: 0.0 Bohr magnetons per cell
- E_tot: -0.184 hartree per atom
- DFT formation energy: 0.638 eV per formula unit
- D(E_F): 13.0 states/eV/f.u.

Geometry as POSCAR:
```
Pm3Er3Sc2
1.0
-3.100 1.160 -4.332
-3.662 -4.015 1.545
-0.530 6.912 5.660
Pm Er Sc
3 3 2
direct
0.641 0.092 0.282
0.359 0.908 0.718
0.500 0.500 0.000
0.000 0.000 0.000
0.861 0.323 0.723
0.139 0.677 0.277
0.250 0.311 0.500
0.750 0.689 0.500
```

A relaxed structure of Pm2Er8Sc, computed with PBE.

Output
- Calculated density: 8.1 Mg/m³
- ΔE to the lowest computed polymorph: 58 meV/atom
- Size of the total moment: 0.0 Bohr magnetons per cell
- E_tot: -0.168 hartree per atom
- DFT formation energy: 1.922 eV per formula unit
- D(E_F): 14.9 states/eV/f.u.

Geometry as POSCAR:
```
Pm2Er8Sc
1.0
-3.376 4.478 1.495
-8.492 0.496 -2.485
-6.387 -3.554 5.314
Er Sc Pm
8 1 2
direct
0.834 0.100 0.227
0.166 0.900 0.773
0.834 0.327 0.773
0.500 0.796 0.409
0.699 0.583 0.000
0.301 0.417 0.000
0.166 0.673 0.227
0.500 0.204 0.591
0.500 0.000 0.000
0.000 0.306 0.388
0.000 0.694 0.612
```

A relaxed structure of PmEr4Sc3, computed with PBE.

Output
- Calculated density: 6.7 Mg/m³
- ΔE to the lowest computed polymorph: 110 meV/atom
- Size of the total moment: 0.0 Bohr magnetons per cell
- E_tot: -0.188 hartree per atom
- DFT formation energy: 1.075 eV per formula unit
- D(E_F): 14.9 states/eV/f.u.

Geometry as POSCAR:
```
PmEr4Sc3
1.0
0.095 -3.095 1.294
4.078 -7.375 -4.924
7.754 2.950 2.067
Er Pm Sc
4 1 3
direct
0.656 0.605 0.124
0.619 0.124 0.605
0.381 0.876 0.395
0.344 0.395 0.876
0.500 0.000 0.000
0.738 0.263 0.263
0.262 0.737 0.737
0.000 0.500 0.500
```

A relaxed structure of PmEr8Sc6, computed with PBE.

Output
- Calculated density: 6.7 Mg/m³
- ΔE to the lowest computed polymorph: 0 meV/atom
- Size of the total moment: 1.8 Bohr magnetons per cell
- E_tot: -0.187 hartree per atom
- DFT formation energy: 2.721 eV per formula unit
- D(E_F): 35.6 states/eV/f.u.

Geometry as POSCAR:
```
PmEr8Sc6
1.0
1.795 8.349 0.664
1.317 3.651 7.636
7.791 2.680 2.340
Pm Sc Er
1 6 8
direct
0.000 0.000 0.000
0.517 0.282 0.069
0.282 0.069 0.517
0.718 0.931 0.483
0.483 0.718 0.931
0.931 0.483 0.718
0.069 0.517 0.282
0.878 0.338 0.188
0.338 0.188 0.878
0.812 0.122 0.662
0.584 0.584 0.584
0.416 0.416 0.416
0.122 0.662 0.812
0.188 0.878 0.338
0.662 0.812 0.122
```

A relaxed structure of PmEr8Sc4, computed with PBE.

Output
- Calculated density: 7.3 Mg/m³
- Size of the total moment: 0.0 Bohr magnetons per cell
- E_tot: -0.179 hartree per atom
- DFT formation energy: 3.231 eV per formula unit
- D(E_F): 17.4 states/eV/f.u.

Geometry as POSCAR:
```
PmEr8Sc4
1.0
6.220 -0.001 -3.355
-4.015 5.816 -0.001
1.147 0.793 9.568
Er Sc Pm
8 4 1
direct
0.562 0.781 0.343
0.955 0.752 0.707
0.438 0.219 0.657
0.045 0.798 0.293
0.505 0.752 0.707
0.955 0.202 0.707
0.045 0.248 0.293
0.495 0.248 0.293
0.500 0.500 0.000
0.500 0.000 0.000
0.000 0.500 0.000
0.000 0.000 0.000
0.000 0.500 0.500
```

A relaxed structure of Pm3Er3Sc5, computed with PBE.

Output
- Calculated density: 5.1 Mg/m³
- Size of the total moment: 0.0 Bohr magnetons per cell
- E_tot: -0.171 hartree per atom
- DFT formation energy: 8.422 eV per formula unit
- D(E_F): 15.2 states/eV/f.u.

Geometry as POSCAR:
```
Pm3Er3Sc5
1.0
-0.020 3.443 4.341
-7.984 3.034 -2.443
0.618 -6.942 5.509
Pm Er Sc
3 3 5
direct
0.000 0.651 0.000
0.000 0.349 0.349
0.000 0.000 0.651
0.500 0.000 0.389
0.500 0.611 0.611
0.500 0.389 0.000
0.500 0.000 0.764
0.500 0.667 0.333
0.500 0.333 0.667
0.500 0.764 0.000
0.500 0.236 0.236
```

A relaxed structure of Pm2Er8Sc, computed with PBE.

Output
- Calculated density: 8.1 Mg/m³
- ΔE to the lowest computed polymorph: 0 meV/atom
- Size of the total moment: 0.0 Bohr magnetons per cell
- E_tot: -0.171 hartree per atom
- DFT formation energy: 1.289 eV per formula unit
- D(E_F): 17.0 states/eV/f.u.

Geometry as POSCAR:
```
Pm2Er8Sc
1.0
-2.612 3.847 -2.939
-6.412 -0.926 4.486
7.168 4.124 4.175
Er Pm Sc
8 2 1
direct
0.633 0.420 0.265
0.633 0.845 0.265
0.000 0.282 0.000
0.367 0.580 0.735
0.163 0.163 0.325
0.367 0.155 0.735
0.000 0.718 0.000
0.837 0.837 0.675
0.799 0.299 0.599
0.201 0.701 0.401
0.500 0.000 0.000
```

A relaxed structure of PmEr4Sc2, computed with PBE.

Output
- Calculated density: 6.3 Mg/m³
- Size of the total moment: 0.0 Bohr magnetons per cell
- E_tot: -0.159 hartree per atom
- DFT formation energy: 5.362 eV per formula unit
- D(E_F): 9.0 states/eV/f.u.

Geometry as POSCAR:
```
PmEr4Sc2
1.0
-0.548 -1.473 -5.288
-2.877 -4.449 1.538
-4.958 7.114 1.410
Er Sc Pm
4 2 1
direct
0.187 0.187 0.374
0.500 0.000 0.000
0.813 0.813 0.626
0.000 0.500 0.000
0.606 0.606 0.212
0.394 0.394 0.788
0.000 0.000 0.000
```